# 1
VASP calculation (PBE) on a relaxed Nd4OsS2Cl crystal.

## Properties
- raw total energy (eV per cell) = -50.90
- DOS(E_F) (states/eV/f.u.) = 7.00
- formation energy without anion corrections (eV/atom) = -1.313

Structure (POSCAR):
```
Nd4OsS2Cl
1.0
-0.1742 0.6485 3.9676
1.4127 -6.9981 1.2059
7.2161 -0.7261 0.4356
S Nd Os Cl
2 4 1 1
Direct
0.0000 0.0000 0.0000
0.5000 0.0000 0.5000
0.5000 0.2429 0.7760
0.0000 0.7456 0.7660
0.0000 0.2544 0.2340
0.5000 0.7571 0.2240
0.5000 0.5000 0.0000
0.0000 0.5000 0.5000
```

# 2
VASP calculation (PBE) on a relaxed Ho6C2SBr3 crystal.

## Properties
- raw total energy (eV per cell) = -68.80
- DOS(E_F) (states/eV/f.u.) = 3.30
- formation energy without anion corrections (eV/atom) = -1.145

Structure (POSCAR):
```
Ho6C2SBr3
1.0
-1.9381 -2.7394 -5.6070
6.3610 0.2966 1.4656
-1.9209 -5.4159 4.5789
Br Ho C S
3 6 2 1
Direct
0.8349 0.1651 0.5000
0.1651 0.8349 0.5000
0.5000 0.5000 0.5000
0.2953 0.2953 0.8194
0.0602 0.4158 0.1808
0.9398 0.5842 0.8192
0.4158 0.0602 0.1808
0.7047 0.7047 0.1806
0.5842 0.9398 0.8192
0.6666 0.3334 0.0000
0.3334 0.6666 0.0000
0.0000 0.0000 0.0000
```

# 3
VASP calculation (PBE) on a relaxed Zn2CrSi crystal.

## Properties
- raw total energy (eV per cell) = -17.29
- DOS(E_F) (states/eV/f.u.) = 2.13
- formation energy without anion corrections (eV/atom) = 0.075

Structure (POSCAR):
```
Zn2CrSi
1.0
3.1871 0.0000 0.0000
0.0000 3.1871 0.0000
0.0000 0.0000 5.4050
Zn Si Cr
2 1 1
Direct
0.0000 0.0000 0.0079
0.5000 0.5000 0.2502
0.5000 0.5000 0.7154
0.0000 0.0000 0.5265
```